[1]
# AgSb4Se7

A geometry-optimized AgSb4Se7 structure (PBE, Alexandria via LeMat-Bulk).

abc: 4.051 4.051 23.461
angles: 90.00 90.00 120.00
Positions (direct):
Sb (0.667, 0.333, 0.081)
Sb (0.333, 0.667, 0.643)
Sb (0.333, 0.667, 0.919)
Sb (0.667, 0.333, 0.357)
Se (0.333, 0.667, 0.433)
Se (0.667, 0.333, 0.567)
Se (0.000, 0.000, 0.709)
Se (0.000, 0.000, 0.000)
Se (0.333, 0.667, 0.148)
Se (0.000, 0.000, 0.291)
Se (0.667, 0.333, 0.852)
Ag (0.000, 0.000, 0.500)

Values from the calculation:
E_form (uncorrected): -22 kJ/mol of atoms
Density of states at the Fermi level: 3.68 states/eV per cell
Calculated total energy: -3.8724 eV per atom
Magnetic moment: 0.0 μB/f.u.


[2]
# HfCSe3

A geometry-optimized HfCSe3 structure (PBE, Alexandria via LeMat-Bulk).

abc: 5.160 5.160 5.160
angles: 90.00 90.00 90.00
Positions (direct):
Hf (0.000, 0.000, 0.000)
Se (0.000, 0.000, 0.500)
Se (0.000, 0.500, 0.000)
Se (0.500, 0.000, 0.000)
C (0.500, 0.500, 0.500)

Values from the calculation:
E_form (uncorrected): 98 kJ/mol of atoms
Density of states at the Fermi level: 4.81 states/eV per cell
Calculated total energy: -4.9122 eV per atom
Magnetic moment: 0.9 μB/f.u.
Energy above the lowest structure with this stoichiometry: 42.1 kJ per mole of atoms


[3]
# NpCrPt4

A geometry-optimized NpCrPt4 structure (PBE, Alexandria via LeMat-Bulk).

abc: 5.336 5.336 5.336
angles: 60.00 60.00 60.00
Positions (direct):
Pt (0.625, 0.625, 0.625)
Pt (0.625, 0.124, 0.625)
Pt (0.124, 0.625, 0.625)
Pt (0.625, 0.625, 0.124)
Np (0.250, 0.250, 0.250)
Cr (0.000, 0.000, 0.000)

Values from the calculation:
Density of states at the Fermi level: 14.25 states/eV per cell
Calculated total energy: -8.1366 eV per atom
Magnetic moment: 1.5 μB/f.u.
DFT formation energy: -0.349 eV/atom


[4]
# TaRu2Pb

A geometry-optimized TaRu2Pb structure (PBE, Alexandria via LeMat-Bulk).

abc: 2.984 2.984 7.872
angles: 90.00 90.00 90.05
Positions (direct):
Ru (0.000, 0.000, 0.026)
Ru (0.500, 0.500, 0.236)
Ta (0.000, 0.000, 0.470)
Pb (0.500, 0.500, 0.768)

Values from the calculation:
Density of states at the Fermi level: 5.13 states/eV per cell
Calculated total energy: -8.1047 eV per atom
Magnetic moment: 0.0 μB/f.u.
DFT formation energy: 0.423 eV/atom


[5]
# K2UNb3O12

A geometry-optimized K2UNb3O12 structure (PBE, Alexandria via LeMat-Bulk).

abc: 7.727 7.727 7.727
angles: 58.19 58.19 58.19
Positions (direct):
Nb (0.500, 0.000, 0.000)
Nb (0.000, 0.500, 0.000)
Nb (0.000, 0.000, 0.500)
O (0.064, 0.064, 0.681)
O (0.064, 0.681, 0.064)
O (0.681, 0.064, 0.064)
O (0.936, 0.936, 0.319)
O (0.319, 0.936, 0.936)
O (0.068, 0.689, 0.689)
O (0.932, 0.311, 0.311)
O (0.689, 0.068, 0.689)
O (0.936, 0.319, 0.936)
O (0.311, 0.311, 0.932)
O (0.689, 0.689, 0.068)
O (0.311, 0.932, 0.311)
K (0.399, 0.399, 0.399)
K (0.601, 0.601, 0.601)
U (0.000, 0.000, 0.000)

Values from the calculation:
E_form (uncorrected): -239 kJ/mol of atoms
Density of states at the Fermi level: 9.86 states/eV per cell
Calculated total energy: -8.2093 eV per atom
Magnetic moment: 0.0 μB/f.u.


[6]
# Cr2RuN

A geometry-optimized Cr2RuN structure (PBE, Alexandria via LeMat-Bulk).

abc: 2.722 2.722 6.794
angles: 78.44 78.44 60.00
Positions (direct):
Cr (0.060, 0.060, 0.820)
Cr (0.273, 0.273, 0.182)
N (0.665, 0.665, 0.004)
Ru (0.502, 0.502, 0.495)

Values from the calculation:
E_form (uncorrected): -25 kJ/mol of atoms
Density of states at the Fermi level: 5.02 states/eV per cell
Calculated total energy: -9.4664 eV per atom
Magnetic moment: 0.2 μB/f.u.


[7]
# Tb2ThZn3

A geometry-optimized Tb2ThZn3 structure (PBE, Alexandria via LeMat-Bulk).

abc: 3.598 3.598 10.891
angles: 90.00 90.00 90.00
Positions (direct):
Tb (0.500, 0.500, 0.163)
Tb (0.500, 0.500, 0.837)
Zn (0.000, 0.000, 0.678)
Zn (0.000, 0.000, 0.000)
Zn (0.000, 0.000, 0.322)
Th (0.500, 0.500, 0.500)

Values from the calculation:
Density of states at the Fermi level: 6.91 states/eV per cell
Calculated total energy: -3.6964 eV per atom
Magnetic moment: 0.0 μB/f.u.
Energy above the lowest structure with this stoichiometry: 0.0 kJ per mole of atoms
DFT formation energy: -0.279 eV/atom


[8]
# SrMg3Pt

A geometry-optimized SrMg3Pt structure (PBE, Alexandria via LeMat-Bulk).

abc: 6.000 6.000 6.000
angles: 90.00 90.00 90.00
Positions (direct):
Pt (0.500, 0.500, 0.500)
Mg (0.000, 0.500, 0.000)
Mg (0.500, 0.000, 0.000)
Mg (0.000, 0.000, 0.500)
Sr (0.000, 0.000, 0.000)

Values from the calculation:
Density of states at the Fermi level: 1.91 states/eV per cell
Calculated total energy: -0.9981 eV per atom
Magnetic moment: 0.0 μB/f.u.
Energy above the lowest structure with this stoichiometry: 187.7 kJ per mole of atoms
DFT formation energy: 1.503 eV/atom


[9]
# Na2ThScTe4

A geometry-optimized Na2ThScTe4 structure (PBE, Alexandria via LeMat-Bulk).

abc: 4.329 7.521 8.074
angles: 107.88 90.00 90.00
Positions (direct):
Th (0.000, 0.000, 0.000)
Na (0.000, 0.500, 0.500)
Na (0.500, 0.000, 0.500)
Sc (0.500, 0.500, 0.000)
Te (0.000, 0.272, 0.773)
Te (0.000, 0.728, 0.227)
Te (0.500, 0.739, 0.761)
Te (0.500, 0.261, 0.239)

Values from the calculation:
E_form (uncorrected): -110 kJ/mol of atoms
Density of states at the Fermi level: 4.21 states/eV per cell
Calculated total energy: -4.7545 eV per atom
Magnetic moment: 0.0 μB/f.u.


[10]
# BeSi2SnTe

A geometry-optimized BeSi2SnTe structure (PBE, Alexandria via LeMat-Bulk).

abc: 5.355 4.469 5.355
angles: 90.00 90.00 90.00
Positions (direct):
Si (0.000, 0.000, 0.500)
Si (0.500, 0.000, 0.000)
Be (0.000, 0.500, 0.000)
Sn (0.000, 0.000, 0.000)
Te (0.500, 0.500, 0.500)

Values from the calculation:
E_form (uncorrected): 98 kJ/mol of atoms
Density of states at the Fermi level: 2.09 states/eV per cell
Calculated total energy: -3.3322 eV per atom
Magnetic moment: 0.0 μB/f.u.


[11]
# LiMg4Ta3N8

A geometry-optimized LiMg4Ta3N8 structure (PBE, Alexandria via LeMat-Bulk).

abc: 6.201 6.188 6.201
angles: 120.07 120.00 90.00
Positions (direct):
N (0.746, 0.739, 0.493)
N (0.254, 0.261, 0.507)
N (0.748, 0.269, 0.021)
N (0.252, 0.731, 0.504)
N (0.252, 0.731, 0.979)
N (0.727, 0.731, 0.979)
N (0.273, 0.269, 0.021)
N (0.748, 0.269, 0.496)
Ta (0.500, 0.500, 0.500)
Ta (0.000, 0.500, 0.500)
Ta (0.500, 0.500, 0.000)
Mg (0.000, 0.000, 0.500)
Mg (0.000, 0.000, 0.000)
Mg (0.500, 0.000, 0.500)
Mg (0.500, 0.000, 0.000)
Li (0.000, 0.500, 0.000)

Values from the calculation:
E_form (uncorrected): -100 kJ/mol of atoms
Calculated total energy: -7.9445 eV per atom
Magnetic moment: 0.0 μB/f.u.


[12]
# LaOs2Pb

A geometry-optimized LaOs2Pb structure (PBE, Alexandria via LeMat-Bulk).

abc: 4.353 4.105 5.723
angles: 90.02 90.00 90.00
Positions (direct):
Pb (0.500, 0.250, 0.250)
Os (0.000, 0.250, 0.547)
Os (0.000, 0.250, 0.953)
La (0.500, 0.750, 0.750)

Values from the calculation:
Density of states at the Fermi level: 3.67 states/eV per cell
Calculated total energy: -7.2301 eV per atom
Magnetic moment: 0.0 μB/f.u.
DFT formation energy: 0.544 eV/atom